A geometry-optimized BaLiMo2 structure, computed with PBEsol.

Output
Crystal system: monoclinic
ΔE to the lowest computed polymorph in meV per atom: 277
Total magnetic moment in μB/f.u.: 0.00
DFT formation energy in eV per atom: 0.87

```
data_BaLiMo2
_chemical_formula_sum 'Ba2 Li2 Mo4'
_symmetry_space_group_name_H-M 'C 1 2/m 1'
_symmetry_Int_Tables_number 12
_cell_length_a 9.6394
_cell_length_b 3.3723
_cell_length_c 5.9151
_cell_angle_alpha 90.00
_cell_angle_beta 103.29
_cell_angle_gamma 90.00
loop_
_symmetry_equiv_pos_as_xyz
'x,y,z'
'-x,-y,-z'
'-x,y,-z'
'x,-y,z'
'x+1/2,y+1/2,z'
'-x+1/2,-y+1/2,-z'
'-x+1/2,y+1/2,-z'
'x+1/2,-y+1/2,z'
loop_
_atom_site_label
_atom_site_fract_x
_atom_site_fract_y
_atom_site_fract_z
Ba1 0.0000 0.0000 0.0000
Li1 0.0000 0.5000 0.5000
Mo1 0.2166 0.0000 0.6123
```

A geometry-optimized La2YSc structure, computed with PBEsol.

Output
Crystal system: tetragonal
ΔE to the lowest computed polymorph in meV per atom: 17
Total magnetic moment in μB/f.u.: 0.00
DFT formation energy in eV per atom: 0.04

```
data_La2YSc
_chemical_formula_sum 'La4 Y2 Sc2'
_symmetry_space_group_name_H-M 'I 4/m m m'
_symmetry_Int_Tables_number 139
_symmetry_space_group_name_Hall '-I 4 2'
_cell_length_a 5.0715
_cell_length_b 5.0715
_cell_length_c 9.4588
_cell_angle_alpha 90.00
_cell_angle_beta 90.00
_cell_angle_gamma 90.00
loop_
_atom_site_label
_atom_site_fract_x
_atom_site_fract_y
_atom_site_fract_z
La1 0.0000 0.5000 0.2500
Y1 0.0000 0.0000 0.0000
Sc1 0.0000 0.0000 0.5000
```

A geometry-optimized ScFeBr2 structure, computed with PBEsol.

Output
Crystal system: tetragonal
ΔE to the lowest computed polymorph in meV per atom: 0
Uncorrected formation energy in eV/atom: -0.493
Total magnetic moment in μB/f.u.: 2.71

```
data_ScFeBr2
_chemical_formula_sum 'Sc1 Fe1 Br2'
_symmetry_space_group_name_H-M 'P 4 m m'
_symmetry_Int_Tables_number 99
_cell_length_a 3.3005
_cell_length_b 3.3005
_cell_length_c 7.6197
_cell_angle_alpha 90.00
_cell_angle_beta 90.00
_cell_angle_gamma 90.00
loop_
_symmetry_equiv_pos_as_xyz
'x,y,z'
'-y,x,z'
'-x,-y,z'
'y,-x,z'
'-x,y,z'
'y,x,z'
'x,-y,z'
'-y,-x,z'
loop_
_atom_site_label
_atom_site_fract_x
_atom_site_fract_y
_atom_site_fract_z
Sc1 0.0000 0.0000 0.0000
Fe1 0.5000 0.5000 0.7828
Br1 0.0000 0.0000 0.6278
Br2 0.5000 0.5000 0.2247
```

A geometry-optimized TaAsI3 structure, computed with PBEsol.

Output
Crystal system: cubic
Uncorrected formation energy in eV/atom: 1.266
Total magnetic moment in μB/f.u.: 3.53

```
data_TaAsI3
_chemical_formula_sum 'Ta1 As1 I3'
_symmetry_space_group_name_H-M 'P m -3 m'
_symmetry_Int_Tables_number 221
_symmetry_space_group_name_Hall '-P 4 2 3'
_cell_length_a 5.5079
_cell_length_b 5.5079
_cell_length_c 5.5079
_cell_angle_alpha 90.00
_cell_angle_beta 90.00
_cell_angle_gamma 90.00
loop_
_atom_site_label
_atom_site_fract_x
_atom_site_fract_y
_atom_site_fract_z
Ta1 0.0000 0.0000 0.0000
As1 0.5000 0.5000 0.5000
I1 0.0000 0.5000 0.5000
```

A geometry-optimized NdHo3 structure, computed with PBEsol.

Output
Crystal system: tetragonal
ΔE to the lowest computed polymorph in meV per atom: 2
Total magnetic moment in μB/f.u.: 0.00
DFT formation energy in eV per atom: 0.02

```
data_NdHo3
_chemical_formula_sum 'Nd2 Ho6'
_symmetry_space_group_name_H-M 'I 4/m m m'
_symmetry_Int_Tables_number 139
_symmetry_space_group_name_Hall '-I 4 2'
_cell_length_a 4.9365
_cell_length_b 4.9365
_cell_length_c 9.8551
_cell_angle_alpha 90.00
_cell_angle_beta 90.00
_cell_angle_gamma 90.00
loop_
_atom_site_label
_atom_site_fract_x
_atom_site_fract_y
_atom_site_fract_z
Nd1 0.0000 0.0000 0.0000
Ho1 0.0000 0.0000 0.5000
Ho2 0.0000 0.5000 0.2500
```

A geometry-optimized K2NiTe structure, computed with PBEsol.

Output
Crystal system: trigonal
Uncorrected formation energy in eV/atom: 0.411
Total magnetic moment in μB/f.u.: 0.24

```
data_K2NiTe
_chemical_formula_sum 'K6 Ni3 Te3'
_symmetry_space_group_name_H-M 'R -3 m'
_symmetry_Int_Tables_number 166
_symmetry_space_group_name_Hall '-R 3 2"'
_cell_length_a 3.5447
_cell_length_b 3.5447
_cell_length_c 30.9056
_cell_angle_alpha 90.00
_cell_angle_beta 90.00
_cell_angle_gamma 120.00
loop_
_atom_site_label
_atom_site_fract_x
_atom_site_fract_y
_atom_site_fract_z
K1 0.0000 0.0000 0.2435
Ni1 0.0000 0.0000 0.5000
Te1 0.0000 0.0000 0.0000
```

A geometry-optimized CoH3Se structure, computed with PBEsol.

Output
Crystal system: cubic
Uncorrected energy in eV for the cell shown: -15.9
Total magnetic moment in μB/f.u.: 1.95

```
data_CoH3Se
_chemical_formula_sum 'Co1 H3 Se1'
_symmetry_space_group_name_H-M 'P m -3 m'
_symmetry_Int_Tables_number 221
_symmetry_space_group_name_Hall '-P 4 2 3'
_cell_length_a 3.5668
_cell_length_b 3.5668
_cell_length_c 3.5668
_cell_angle_alpha 90.00
_cell_angle_beta 90.00
_cell_angle_gamma 90.00
loop_
_atom_site_label
_atom_site_fract_x
_atom_site_fract_y
_atom_site_fract_z
Co1 0.0000 0.0000 0.0000
H1 0.0000 0.5000 0.5000
Se1 0.5000 0.5000 0.5000
```

A geometry-optimized TaMnTc2 structure, computed with PBEsol.

Output
Crystal system: tetragonal
Total magnetic moment in μB/f.u.: 2.21
DFT formation energy in eV per atom: -0.09

```
data_TaMnTc2
_chemical_formula_sum 'Ta1 Mn1 Tc2'
_symmetry_space_group_name_H-M 'P 4/m m m'
_symmetry_Int_Tables_number 123
_symmetry_space_group_name_Hall '-P 4 2'
_cell_length_a 3.0972
_cell_length_b 3.0972
_cell_length_c 5.9818
_cell_angle_alpha 90.00
_cell_angle_beta 90.00
_cell_angle_gamma 90.00
loop_
_atom_site_label
_atom_site_fract_x
_atom_site_fract_y
_atom_site_fract_z
Ta1 0.0000 0.0000 0.0000
Mn1 0.0000 0.0000 0.5000
Tc1 0.5000 0.5000 0.2615
```

A geometry-optimized Ca2ZnSnW structure, computed with PBEsol.

Output
Crystal system: tetragonal
Total magnetic moment in μB/f.u.: 0.00
DFT formation energy in eV per atom: 1.00

```
data_Ca2ZnSnW
_chemical_formula_sum 'Ca2 Zn1 Sn1 W1'
_symmetry_space_group_name_H-M 'P 4/m m m'
_symmetry_Int_Tables_number 123
_symmetry_space_group_name_Hall '-P 4 2'
_cell_length_a 5.3501
_cell_length_b 5.3501
_cell_length_c 4.9121
_cell_angle_alpha 90.00
_cell_angle_beta 90.00
_cell_angle_gamma 90.00
loop_
_atom_site_label
_atom_site_fract_x
_atom_site_fract_y
_atom_site_fract_z
Ca1 0.0000 0.5000 0.0000
Zn1 0.0000 0.0000 0.5000
Sn1 0.5000 0.5000 0.5000
W1 0.0000 0.0000 0.0000
```

A geometry-optimized Cs2Hg2Br structure, computed with PBEsol.

Output
Crystal system: tetragonal
Uncorrected formation energy in eV/atom: -0.802
Total magnetic moment in μB/f.u.: 0.00

```
data_Cs2Hg2Br
_chemical_formula_sum 'Cs4 Hg4 Br2'
_symmetry_space_group_name_H-M 'I 4/m m m'
_symmetry_Int_Tables_number 139
_symmetry_space_group_name_Hall '-I 4 2'
_cell_length_a 4.3348
_cell_length_b 4.3348
_cell_length_c 20.5450
_cell_angle_alpha 90.00
_cell_angle_beta 90.00
_cell_angle_gamma 90.00
loop_
_atom_site_label
_atom_site_fract_x
_atom_site_fract_y
_atom_site_fract_z
Cs1 0.0000 0.0000 0.0998
Hg1 0.0000 0.5000 0.2500
Br1 0.0000 0.0000 0.5000
```

A geometry-optimized ZrP2Br structure, computed with PBEsol.

Output
Crystal system: orthorhombic
ΔE to the lowest computed polymorph in meV per atom: 590
Uncorrected formation energy in eV/atom: -0.167
Total magnetic moment in μB/f.u.: 0.00

```
data_ZrP2Br
_chemical_formula_sum 'Zr2 P4 Br2'
_symmetry_space_group_name_H-M 'I m m m'
_symmetry_Int_Tables_number 71
_symmetry_space_group_name_Hall '-I 2 2'
_cell_length_a 3.6515
_cell_length_b 4.1391
_cell_length_c 9.2159
_cell_angle_alpha 90.00
_cell_angle_beta 90.00
_cell_angle_gamma 90.00
loop_
_atom_site_label
_atom_site_fract_x
_atom_site_fract_y
_atom_site_fract_z
Zr1 0.0000 0.0000 0.0000
P1 0.0000 0.5000 0.2579
Br1 0.0000 0.0000 0.5000
```